Crystalline Fe2PIr at its relaxed geometry, computed with PBEsol.

Properties
calculated volume: 188.8 Å³/cell
ΔH_f (0 K): -0.0578 eV per atom
spin magnetization: 19.60 μB/cell

```
data_Fe2PIr
_chemical_formula_sum 'Fe8 P4 Ir4'
_cell_length_a 5.7364
_cell_length_b 5.7364
_cell_length_c 5.7364
_cell_angle_alpha 90.00
_cell_angle_beta 90.00
_cell_angle_gamma 90.00
_symmetry_space_group_name_H-M 'F -4 3 m'
_symmetry_Int_Tables_number 216
_symmetry_space_group_name_Hall 'F -4 2 3'
loop_
_atom_site_label
_atom_site_type_symbol
_atom_site_fract_x
_atom_site_fract_y
_atom_site_fract_z
_atom_site_occupancy
Fe1 Fe 0.0000 0.0000 0.0000 1
Fe2 Fe 0.2500 0.2500 0.2500 1
P1 P 0.0000 0.0000 0.5000 1
Ir1 Ir 0.2500 0.2500 0.7500 1
```